VASP calculation (PBE) on an optimized crystal structure of Li3Ac2MgGa4.

Summary:
- volume (Å³ per atom) = 22.9
- calculated formation energy (meV per atom) = -335.1

Cell and atoms, written as POSCAR:
```
Li3Ac2MgGa4
1.0
4.598 0.000 0.000
0.000 4.598 0.000
0.000 0.000 10.819
Li Ac Mg Ga
3 2 1 4
direct
0.000 0.000 0.000
0.000 0.500 0.619
0.500 0.000 0.381
0.000 0.500 0.259
0.500 0.000 0.741
0.500 0.500 0.000
0.000 0.000 0.500
0.000 0.500 0.857
0.500 0.000 0.143
0.500 0.500 0.500
```